DFT (PBE-GGA) results for a relaxed structure of PmSmScIn.

Cell lengths 5.438, 5.438, 5.438 Å; angles 60.00, 60.00, 60.00 degrees
Element x y z (fractional)
Pm 0.000 0.000 0.000
Sm 0.500 0.500 0.500
Sc 0.250 0.250 0.250
In 0.750 0.750 0.750

Calculated values
* E_tot: -19.21 eV per formula unit
* size of the total moment: 1.2 μB per cell
* calculated formation energy: -0.168 eV/atom
* relative energy among the computed polymorphs: 0.000 eV per atom